The following is a DFT calculation (PBE-GGA) of a relaxed structure of Y2ReAs.

Output
total moment: 1.303 μB per cell
DFT formation energy: 0.027 eV per atom
symmetry: Pmm2

Cell and atoms, written as POSCAR:
```
Y2ReAs
1.0
3.8693 0.0000 0.0000
0.0000 4.2392 0.0000
0.0000 0.0000 5.9007
As Y Re
1 2 1
direct
0.0000 0.0000 0.4242
0.5000 0.5000 0.3190
0.0000 0.0000 0.9251
0.5000 0.5000 0.8317
```